DFT (PBE-GGA) results for a geometry-optimized LiNpTlSe3 structure.

Computed properties:
spin magnetization	12.02	μB per cell
total DFT energy (no corrections)	-133.89	eV per cell

```
data_LiNpTlSe3
_cell_length_a 4.225
_cell_length_b 14.159
_cell_length_c 10.908
_cell_angle_alpha 90.00
_cell_angle_beta 90.00
_cell_angle_gamma 90.00
_space_group_name_H-M_alt 'C m c m'
_space_group_IT_number 63
_space_group_name_Hall '-C 2c 2'
loop_
_atom_site_label
_atom_site_type_symbol
_atom_site_fract_x
_atom_site_fract_y
_atom_site_fract_z
Li1 Li 0.000 0.039 0.250
Np1 Np 0.000 0.500 0.000
Tl1 Tl 0.000 0.240 0.750
Se1 Se 0.000 0.127 0.050
Se2 Se 0.000 0.440 0.250
```



DFT (PBE-GGA) results for a geometry-optimized SmHoTlFe2 structure.

Computed properties:
spin magnetization	3.23	μB per cell
total DFT energy (no corrections)	-57.82	eV per cell

```
data_SmHoTlFe2
_cell_length_a 3.943
_cell_length_b 3.831
_cell_length_c 14.066
_cell_angle_alpha 90.00
_cell_angle_beta 90.00
_cell_angle_gamma 90.00
_space_group_name_H-M_alt 'A m m 2'
_space_group_IT_number 38
loop_
_space_group_symop_operation_xyz
'x,y,z'
'-x,-y,z'
'-x,y,z'
'x,-y,z'
'x,y+1/2,z+1/2'
'-x,-y+1/2,z+1/2'
'-x,y+1/2,z+1/2'
'x,-y+1/2,z+1/2'
loop_
_atom_site_label
_atom_site_type_symbol
_atom_site_fract_x
_atom_site_fract_y
_atom_site_fract_z
Sm1 Sm 0.000 0.000 0.000
Ho1 Ho 0.000 0.000 0.723
Tl1 Tl 0.500 0.000 0.360
Fe1 Fe 0.500 0.000 0.154
Fe2 Fe 0.500 0.000 0.576
```



DFT (PBE-GGA) results for a geometry-optimized Gd3Mg3In2Au structure.

Computed properties:
spin magnetization	0.00	μB per cell
total DFT energy (no corrections)	-31.96	eV per cell

```
data_Gd3Mg3In2Au
_cell_length_a 7.5684
_cell_length_b 7.5684
_cell_length_c 4.5433
_cell_angle_alpha 90.00
_cell_angle_beta 90.00
_cell_angle_gamma 120.00
_space_group_name_H-M_alt 'P -6 2 m'
_space_group_IT_number 189
_space_group_name_Hall 'P -6 -2'
loop_
_atom_site_label
_atom_site_type_symbol
_atom_site_fract_x
_atom_site_fract_y
_atom_site_fract_z
Gd1 Gd 0.0000 0.5917 0.0000
Mg1 Mg 0.0000 0.2359 0.5000
In1 In 0.3333 0.6667 0.5000
Au1 Au 0.0000 0.0000 0.0000
```



DFT (PBE-GGA) results for a geometry-optimized RbErGaSe3 structure.

Computed properties:
spin magnetization	0.03	μB per cell
total DFT energy (no corrections)	-105.43	eV per cell

```
data_RbErGaSe3
_cell_length_a 4.544
_cell_length_b 14.992
_cell_length_c 10.859
_cell_angle_alpha 90.00
_cell_angle_beta 90.00
_cell_angle_gamma 90.00
_space_group_name_H-M_alt 'C m c m'
_space_group_IT_number 63
_space_group_name_Hall '-C 2c 2'
loop_
_atom_site_label
_atom_site_type_symbol
_atom_site_fract_x
_atom_site_fract_y
_atom_site_fract_z
Rb1 Rb 0.000 0.248 0.250
Er1 Er 0.000 0.500 0.000
Ga1 Ga 0.000 0.016 0.750
Se1 Se 0.000 0.118 0.562
Se2 Se 0.000 0.439 0.750
```